A plane-wave DFT calculation with PBE was carried out for EuLu2Os after structural relaxation.

Lattice parameters (Å, degrees): 3.382 3.382 9.366 90.00 90.00 90.00
Fractional positions:
Eu1 0.000 0.000 0.000
Lu1 0.500 0.500 0.329
Lu2 0.500 0.500 0.671
Os1 0.000 0.000 0.500

Density in g/cm3: 10.73
Space group: P4/mmm (123)
Polymorph energy (0 for the lowest one) in eV/atom: 0.000
ΔE_f in kJ/mol of formula units: -81

***

A plane-wave DFT calculation with PBE was carried out for TcAgMo2 after structural relaxation.

Lattice parameters (Å, degrees): 4.489 4.489 4.489 60.00 60.00 60.00
Fractional positions:
Tc1 0.000 0.000 0.000
Ag1 0.500 0.500 0.500
Mo1 0.250 0.250 0.250
Mo2 0.750 0.750 0.750

Density in g/cm3: 10.33
Space group: Fm-3m (225)
Polymorph energy (0 for the lowest one) in eV/atom: 0.316
ΔE_f in kJ/mol of formula units: 228

***

A plane-wave DFT calculation with PBE was carried out for V2RuW after structural relaxation.

Lattice parameters (Å, degrees): 4.308 4.308 4.308 60.00 60.00 60.00
Fractional positions:
V1 0.250 0.250 0.250
V2 0.750 0.750 0.750
Ru1 0.000 0.000 0.000
W1 0.500 0.500 0.500

Density in g/cm3: 11.36
Space group: Fm-3m (225)
Polymorph energy (0 for the lowest one) in eV/atom: 0.022
ΔE_f in kJ/mol of formula units: -77

***

A plane-wave DFT calculation with PBE was carried out for As6Os7 after structural relaxation.

Lattice parameters (Å, degrees): 8.844 8.844 8.844 36.55 36.55 36.55
Fractional positions:
As1 0.060 0.060 0.060
As2 0.177 0.177 0.177
As3 0.333 0.333 0.333
As4 0.667 0.667 0.667
As5 0.823 0.823 0.823
As6 0.940 0.940 0.940
Os1 0.084 0.578 0.578
Os2 0.422 0.422 0.916
Os3 0.422 0.916 0.422
Os4 0.500 0.500 0.500
Os5 0.578 0.084 0.578
Os6 0.578 0.578 0.084
Os7 0.916 0.422 0.422

Density in g/cm3: 13.47
Space group: R-3m (166)
ΔE_f in kJ/mol of formula units: 758

***

A plane-wave DFT calculation with PBE was carried out for MgHgS2O8 after structural relaxation.

Lattice parameters (Å, degrees): 7.697 7.697 7.697 36.16 36.16 36.16
Fractional positions:
Mg1 0.000 0.000 0.000
Hg1 0.500 0.500 0.500
S1 0.253 0.253 0.253
S2 0.747 0.747 0.747
O1 0.016 0.739 0.425
O2 0.182 0.182 0.182
O3 0.261 0.575 0.984
O4 0.425 0.016 0.739
O5 0.575 0.984 0.261
O6 0.739 0.425 0.016
O7 0.818 0.818 0.818
O8 0.984 0.261 0.575

Density in g/cm3: 4.88
Formation energy (no corrections) in eV/atom: -1.3919
Space group: R-3 (148)

***

A plane-wave DFT calculation with PBE was carried out for NaGdHgGe after structural relaxation.

Lattice parameters (Å, degrees): 5.131 5.131 5.131 60.00 60.00 60.00
Fractional positions:
Na1 0.000 0.000 0.000
Gd1 0.500 0.500 0.500
Hg1 0.250 0.250 0.250
Ge1 0.750 0.750 0.750

Density in g/cm3: 7.88
Space group: F-43m (216)
ΔE_f in kJ/mol of formula units: -158

***

A plane-wave DFT calculation with PBE was carried out for Rb3TbPr2S6 after structural relaxation.

Lattice parameters (Å, degrees): 7.284 7.284 8.093 98.63 98.63 120.00
Fractional positions:
Rb1 0.000 0.000 0.000
Rb2 0.332 0.668 0.000
Rb3 0.668 0.332 0.000
Tb1 0.500 0.500 0.500
Pr1 0.167 0.833 0.500
Pr2 0.833 0.167 0.500
S1 0.110 0.435 0.304
S2 0.241 0.241 0.696
S3 0.435 0.110 0.304
S4 0.565 0.890 0.696
S5 0.759 0.759 0.304
S6 0.890 0.565 0.696

Density in g/cm3: 4.16
Formation energy (no corrections) in eV/atom: -1.8264
Space group: C2/m (12)

***

A plane-wave DFT calculation with PBE was carried out for SrTl6In after structural relaxation.

Lattice parameters (Å, degrees): 5.701 7.042 7.042 61.08 90.00 90.00
Fractional positions:
Sr1 0.000 0.000 0.000
Tl1 0.000 0.006 0.497
Tl2 0.000 0.497 0.006
Tl3 0.500 0.179 0.179
Tl4 0.500 0.187 0.658
Tl5 0.500 0.658 0.187
Tl6 0.500 0.674 0.674
In1 0.000 0.498 0.498

Density in g/cm3: 9.59
Space group: Amm2 (38)
Polymorph energy (0 for the lowest one) in eV/atom: 0.000
ΔE_f in kJ/mol of formula units: -93